{"formula": "TlIn2Cl", "functional": "GGA-PBE", "state": "relaxed", "lattice": [[-1.799, 2.817, 5.546], [1.799, -2.817, 5.546], [1.799, 2.817, -5.546]], "species": ["Tl", "In", "In", "Cl"], "frac_coords": [[0.000, 0.000, 0.000], [0.259, 0.759, 0.500], [0.507, 0.507, 0.000], [0.738, 0.238, 0.500]], "formation_energy_uncorrected_mev_per_atom": -258, "rho_g_cm3": 6.933, "sg": "Imm2, No. 44"}

---

{"formula": "Tl2InCl", "functional": "GGA-PBE", "state": "relaxed", "lattice": [[4.249, 0.000, 0.000], [0.000, 4.249, 0.000], [0.000, 0.000, 6.681]], "species": ["Tl", "Tl", "In", "Cl"], "frac_coords": [[0.000, 0.000, 0.239], [0.000, 0.000, 0.761], [0.500, 0.500, 0.500], [0.500, 0.500, 0.000]], "formation_energy_uncorrected_mev_per_atom": -305, "rho_g_cm3": 7.698, "sg": "P4/mmm, No. 123"}

---

{"formula": "Tl6In3Cl14", "functional": "GGA-PBE", "state": "relaxed", "lattice": [[11.338, 0.000, 0.000], [-5.669, 9.819, 0.000], [0.000, 0.000, 7.141]], "species": ["Tl", "Tl", "Tl", "Tl", "Tl", "Tl", "In", "In", "In", "Cl", "Cl", "Cl", "Cl", "Cl", "Cl", "Cl", "Cl", "Cl", "Cl", "Cl", "Cl", "Cl", "Cl"], "frac_coords": [[0.048, 0.580, 0.000], [0.323, 0.114, 0.445], [0.420, 0.469, 0.000], [0.531, 0.952, 0.000], [0.791, 0.677, 0.445], [0.886, 0.209, 0.445], [0.000, 0.000, 0.882], [0.333, 0.667, 0.437], [0.667, 0.333, 0.821], [0.000, 0.000, 0.216], [0.096, 0.871, 0.754], [0.129, 0.226, 0.754], [0.170, 0.431, 0.279], [0.261, 0.830, 0.279], [0.333, 0.667, 0.810], [0.453, 0.197, 0.019], [0.538, 0.417, 0.610], [0.569, 0.739, 0.279], [0.583, 0.121, 0.610], [0.744, 0.547, 0.019], [0.774, 0.904, 0.754], [0.803, 0.256, 0.019], [0.879, 0.462, 0.610]], "formation_energy_uncorrected_mev_per_atom": -1039, "rho_g_cm3": 4.318, "sg": "P3, No. 143"}

---

{"formula": "TlInCl", "functional": "GGA-PBE", "state": "relaxed", "lattice": [[6.074, 0.000, 0.000], [2.783, 5.445, 0.000], [3.009, -0.192, 5.414]], "species": ["Tl", "Tl", "In", "In", "Cl", "Cl"], "frac_coords": [[0.000, 0.000, 0.000], [0.363, 0.481, 0.232], [0.703, 0.722, 0.643], [0.754, 0.208, 0.594], [0.150, 0.445, 0.846], [0.393, 0.933, 0.367]], "formation_energy_uncorrected_mev_per_atom": -474, "rho_g_cm3": 6.577, "sg": "P1, No. 1"}

---

{"formula": "Tl2InCl", "functional": "GGA-PBE", "state": "relaxed", "lattice": [[1.866, 1.077, 9.888], [-1.866, 1.077, 9.888], [0.000, -2.155, 9.888]], "species": ["Tl", "Tl", "In", "Cl"], "frac_coords": [[0.000, 0.000, 0.000], [0.181, 0.181, 0.181], [0.423, 0.423, 0.423], [0.591, 0.591, 0.591]], "formation_energy_uncorrected_mev_per_atom": -310, "rho_g_cm3": 7.783, "sg": "R3m, No. 160"}

---

{"formula": "TlInCl", "functional": "GGA-PBE", "state": "relaxed", "lattice": [[0.000, 3.154, 7.440], [1.887, 0.000, 7.440], [1.887, 3.154, 0.000]], "species": ["Tl", "In", "Cl"], "frac_coords": [[0.000, 0.000, 0.000], [0.311, 0.311, 0.689], [0.670, 0.670, 0.330]], "formation_energy_uncorrected_mev_per_atom": -418, "rho_g_cm3": 6.647, "sg": "Fmm2, No. 42"}

---

{"formula": "Tl2InCl", "functional": "GGA-PBE", "state": "relaxed", "lattice": [[1.844, 1.065, 9.926], [-1.844, 1.065, 9.926], [0.000, -2.129, 9.926]], "species": ["Tl", "Tl", "In", "Cl"], "frac_coords": [[0.000, 0.000, 0.000], [0.240, 0.240, 0.240], [0.486, 0.486, 0.486], [0.751, 0.751, 0.751]], "formation_energy_uncorrected_mev_per_atom": -314, "rho_g_cm3": 7.939, "sg": "R3m, No. 160"}

---

{"formula": "TlIn2Cl", "functional": "GGA-PBE", "state": "relaxed", "lattice": [[3.470, 0.000, 0.000], [0.000, 3.470, 0.000], [0.000, 0.000, 9.287]], "species": ["Tl", "In", "In", "Cl"], "frac_coords": [[0.000, 0.000, 0.000], [0.500, 0.500, 0.271], [0.500, 0.500, 0.729], [0.000, 0.000, 0.500]], "formation_energy_uncorrected_mev_per_atom": -237, "rho_g_cm3": 6.972, "sg": "P4/mmm, No. 123"}